A plane-wave DFT calculation with PBE was carried out for MgOs2Rh after structural relaxation.

a b c (Å): 2.8016 4.6407 9.2344
angles (deg): 90.00 90.00 90.00
With the nearest neighbours (Å) after each atom.
Space group Cmmm (No. 65)
Inequivalent atoms, fractional coordinates:
Mg (0.0000, 0.0000, 0.0000) [2 per cell]  4 Os 2.71, 6 Mg 2.71-2.80
Os (0.0000, 0.5000, 0.2511) [4 per cell]  2 Rh 2.69, 2 Mg 2.71, 6 Os 2.71-2.80
Rh (0.0000, 0.0000, 0.5000) [2 per cell]  4 Os 2.69, 6 Rh 2.71-2.80

Results
VASP energy (eV for the cell shown): -59.501
ΔE_f (meV per atom): 414